1.
A plane-wave DFT calculation with PBE was carried out for crystalline TaAl2PBr at its relaxed geometry.

Summary:
Uncorrected formation energy ... 1.566 eV/atom
Size of the total moment ... 0.2 μB/f.u.
V ... 23.38 Å³ per atom

The structure in POSCAR format:
```
TaAl2PBr
1.0
4.965 0.000 0.000
0.000 4.742 0.000
0.000 0.000 4.965
P Al Ta Br
1 2 1 1
Cartesian
2.482 2.371 2.482
0.000 0.000 2.482
2.482 0.000 0.000
0.000 2.371 0.000
0.000 0.000 0.000
```

---

2.
A plane-wave DFT calculation with PBE was carried out for crystalline AlP2WBr at its relaxed geometry.

Summary:
Uncorrected formation energy ... 0.243 eV/atom
Size of the total moment ... 0.0 μB/f.u.
V ... 22.59 Å³ per atom

The structure in POSCAR format:
```
AlP2WBr
1.0
4.622 0.000 0.000
0.000 5.287 0.000
0.000 0.000 4.622
Al Br P W
1 1 2 1
Cartesian
0.000 2.644 0.000
2.311 2.644 2.311
2.311 0.000 0.000
0.000 0.000 2.311
0.000 0.000 0.000
```

---

3.
A plane-wave DFT calculation with PBE was carried out for crystalline PaAlBr at its relaxed geometry.

Summary:
Uncorrected formation energy ... -0.486 eV/atom
Size of the total moment ... 1.1 μB/f.u.
V ... 24.98 Å³ per atom

The structure in POSCAR format:
```
PaAlBr
1.0
-2.006 0.709 4.223
-1.478 -1.989 2.280
10.240 -3.763 8.143
Br Pa Al
2 2 2
Cartesian
0.450 -1.010 3.031
6.306 -4.034 11.615
1.165 -0.942 6.006
5.591 -4.102 8.639
3.996 -1.601 4.814
2.760 -3.443 9.831
```

---

4.
A plane-wave DFT calculation with PBE was carried out for crystalline AlPbBr2 at its relaxed geometry.

Summary:
E above lowest polymorph ... 0.42 eV/f.u.
Uncorrected formation energy ... -0.284 eV/atom
Size of the total moment ... 0.0 μB/f.u.
V ... 28.59 Å³ per atom

The structure in POSCAR format:
```
AlPbBr2
1.0
9.437 -0.006 -0.004
8.677 3.710 -0.004
8.677 1.774 3.258
Br Al Pb
2 1 1
Cartesian
13.159 2.690 1.596
0.236 0.048 0.029
20.093 4.108 2.438
6.698 1.369 0.813
```

---

Question: What is the V in the fourth record?
Answer: 28.59 Å³ per atom

---

Question: Which of these has the lowest V?
Answer: AlP2WBr